No. 1
36
Lattice="8.297 0.000 0.000 0.000 6.152 0.000 0.000 0.000 7.361" Properties=species:S:1:pos:R:3 comment="Mg2PHO5, PBEsol geometry, DFT SCAN" spacegroup="Pnma, No. 62" m_tot_mub_per_fu=0.00 energy_ev_per_atom=-8.752 pbc="T T T"
Mg 0.000 0.000 0.000
Mg 0.000 3.076 0.000
Mg 1.478 1.538 3.110
Mg 2.670 4.614 6.791
Mg 4.149 0.000 3.680
Mg 4.149 3.076 3.680
Mg 5.627 1.538 0.570
Mg 6.819 4.614 4.250
P 1.472 4.614 2.462
P 2.677 1.538 6.143
P 5.620 4.614 1.218
P 6.825 1.538 4.898
H 0.426 4.614 5.369
H 3.722 1.538 1.689
H 4.575 4.614 5.672
H 7.871 1.538 1.991
O 0.191 4.614 3.274
O 0.338 1.538 1.372
O 1.114 4.614 0.934
O 1.829 0.277 6.439
O 1.829 2.799 6.439
O 2.320 3.353 2.759
O 2.320 5.874 2.759
O 3.034 1.538 4.614
O 3.811 4.614 5.052
O 3.958 1.538 6.954
O 4.339 4.614 0.407
O 4.486 1.538 2.309
O 5.263 4.614 2.746
O 5.977 0.277 4.602
O 5.977 2.799 4.602
O 6.468 3.353 0.922
O 6.468 5.874 0.922
O 7.183 1.538 6.427
O 7.959 4.614 5.989
O 8.106 1.538 4.087

No. 2
31
Lattice="6.933 0.000 0.000 0.565 7.413 0.000 2.382 0.970 7.222" Properties=species:S:1:pos:R:3 comment="Rb2MgP4H8O16, PBEsol geometry, DFT SCAN" spacegroup="P-1, No. 2" m_tot_mub_per_fu=0.00 energy_ev_per_atom=-8.974 pbc="T T T"
Rb 1.579 1.989 2.110
Rb 8.301 6.394 5.112
Mg 4.657 0.485 3.611
P 3.678 3.014 5.457
P 3.346 5.894 1.767
P 6.534 2.489 5.455
P 6.202 5.369 1.765
H 1.154 5.757 0.597
H 3.224 4.460 3.462
H 5.076 6.858 6.195
H 4.684 5.724 5.122
H 5.195 2.659 2.100
H 4.804 1.525 1.027
H 6.656 3.923 3.760
H 8.725 2.626 6.625
O 2.785 3.036 6.727
O 2.823 4.596 2.463
O 2.434 6.243 0.603
O 3.400 1.850 4.543
O 3.679 4.379 4.761
O 3.573 6.988 2.779
O 5.129 2.861 6.166
O 5.181 6.583 5.240
O 4.699 1.800 1.982
O 4.750 5.522 1.056
O 6.307 1.394 4.443
O 6.200 4.004 2.461
O 6.480 6.532 2.679
O 7.446 2.139 6.619
O 7.057 3.787 4.759
O 7.095 5.347 0.496

No. 3
50
Lattice="6.814 0.000 0.000 0.000 6.072 0.000 0.000 0.000 11.153" Properties=species:S:1:pos:R:3 comment="MgTlPH12O10, PBEsol geometry, DFT SCAN" spacegroup="Pmn2_1, No. 31" m_tot_mub_per_fu=0.00 energy_ev_per_atom=-9.121 pbc="T T T"
Mg 0.000 0.761 0.000
Mg 3.407 5.310 5.576
Tl 0.000 0.660 3.837
Tl 3.407 5.412 9.413
P 0.000 3.045 7.031
P 3.407 3.027 1.455
H 0.000 4.076 10.830
H 0.000 4.690 9.329
H 0.821 3.102 1.317
H 1.168 4.056 4.816
H 1.194 5.317 7.250
H 1.408 1.806 9.003
H 1.681 0.783 7.076
H 1.725 5.289 1.499
H 1.999 4.266 3.427
H 2.213 0.755 1.674
H 2.239 2.015 10.392
H 2.586 2.969 6.893
H 3.407 1.382 3.752
H 3.407 1.995 5.254
H 4.228 2.969 6.893
H 4.574 2.015 10.392
H 4.601 0.755 1.674
H 4.814 4.266 3.427
H 5.088 5.289 1.499
H 5.132 0.783 7.076
H 5.406 1.806 9.003
H 5.619 5.317 7.250
H 5.646 4.056 4.816
H 5.993 3.102 1.317
O 0.000 2.744 0.832
O 0.000 3.229 5.501
O 0.000 4.440 7.731
O 0.000 4.930 10.310
O 1.274 2.281 7.483
O 1.418 0.176 1.402
O 1.565 1.408 9.923
O 1.841 4.664 4.347
O 1.989 5.896 6.979
O 2.132 3.791 1.906
O 3.407 1.142 4.734
O 3.407 1.632 2.154
O 3.407 2.842 11.077
O 3.407 3.328 6.408
O 4.681 3.791 1.906
O 4.825 5.896 6.979
O 4.972 4.664 4.347
O 5.248 1.408 9.923
O 5.396 0.176 1.402
O 5.539 2.281 7.483

No. 4
27
Lattice="-3.121 3.121 6.666 3.121 -3.121 6.666 3.121 3.121 -6.666" Properties=species:S:1:pos:R:3 comment="MgV2P2H8O14, PBEsol geometry, DFT SCAN" spacegroup="I4/m, No. 87" m_tot_mub_per_fu=2.00 energy_ev_per_atom=-8.474 pbc="T T T"
Mg 0.000 0.000 0.000
V 0.000 0.000 3.714
V 0.000 0.000 9.617
P 3.121 0.000 3.333
P 0.000 3.121 3.333
H 3.948 1.102 -0.809
H 3.948 1.102 0.809
H 1.102 2.295 -0.809
H 1.102 2.295 0.809
H 2.020 0.827 5.857
H 2.020 0.827 7.474
H -0.827 2.020 5.857
H -0.827 2.020 7.474
O 3.257 1.234 -2.410
O 0.000 0.000 2.108
O 4.523 1.140 0.000
O 1.140 1.720 0.000
O 1.234 2.986 -2.410
O 1.887 0.136 4.256
O 3.257 1.234 2.410
O -0.136 1.887 4.256
O 1.234 2.986 2.410
O 1.887 0.136 9.075
O 1.981 1.402 6.666
O -1.402 1.981 6.666
O 0.000 0.000 11.223
O -0.136 1.887 9.075